[1]
Y2ZrNiRu | PBE | optimized geometry

a = 5.4172 Å, b = 5.4172 Å, c = 4.3882 Å
α = 90.00°, β = 90.00°, γ = 90.00°
Space group P4/mmm (No. 123)
One atom of each set of equivalent atoms:
Y 0.0000 0.5000 0.0000
Zr 0.0000 0.0000 0.0000
Ni 0.0000 0.0000 0.5000
Ru 0.5000 0.5000 0.5000

Properties
formation enthalpy at 0 K = 1.1999 eV per atom
magnetic moment = 1.427 μB per cell
DOS at the Fermi energy = 4.98 states/eV per cell
E = -30.5 eV per cell

***

[2]
ZnNiRu2 | PBE | optimized geometry

a = 3.7289 Å, b = 3.7289 Å, c = 7.6129 Å
α = 90.00°, β = 90.00°, γ = 90.00°
Space group I4/mmm (No. 139)
One atom of each set of equivalent atoms:
Zn 0.0000 0.0000 0.0000
Ni 0.0000 0.0000 0.5000
Ru 0.0000 0.5000 0.2500

Properties
formation enthalpy at 0 K = 0.1655 eV per atom
magnetic moment = 0.000 μB per cell
DOS at the Fermi energy = 11.44 states/eV per cell
E = -49.9 eV per cell

***

[3]
ZnNi2Ru2 | PBE | optimized geometry

a = 7.1522 Å, b = 7.1522 Å, c = 2.6843 Å
α = 90.00°, β = 90.00°, γ = 90.00°
Space group P4/mbm (No. 127)
One atom of each set of equivalent atoms:
Zn 0.0000 0.0000 0.0000
Ni 0.1693 0.3307 0.5000
Ru 0.1271 0.6271 0.0000

Properties
formation enthalpy at 0 K = 0.3309 eV per atom
E above lowest polymorph = 38 meV per atom
magnetic moment = 2.580 μB per cell
DOS at the Fermi energy = 15.14 states/eV per cell
E = -59.5 eV per cell

***

[4]
ZnNi2Ru | PBE | optimized geometry

a = 3.5494 Å, b = 3.5494 Å, c = 17.0876 Å
α = 90.00°, β = 90.00°, γ = 90.00°
Space group I-42d (No. 122)
One atom of each set of equivalent atoms:
Zn 0.0000 0.0000 0.0000
Ni 0.2483 0.2500 0.6250
Ru 0.0000 0.0000 0.5000

Properties
formation enthalpy at 0 K = 0.4193 eV per atom
magnetic moment = 0.000 μB per cell
DOS at the Fermi energy = 16.18 states/eV per cell
E = -81.7 eV per cell

***

[5]
ZnNiRu2 | PBE | optimized geometry

a = 7.1749 Å, b = 7.1749 Å, c = 4.6942 Å
α = 90.00°, β = 90.00°, γ = 90.00°
Space group I-42d (No. 122)
One atom of each set of equivalent atoms:
Zn 0.0000 0.0000 0.0000
Ni 0.0000 0.0000 0.5000
Ru 0.1940 0.2500 0.6250

Properties
formation enthalpy at 0 K = 0.6196 eV per atom
magnetic moment = 0.000 μB per cell
DOS at the Fermi energy = 14.24 states/eV per cell
E = -92.5 eV per cell

***

[6]
ZnNi14Ru | PBE | optimized geometry

a = 8.2147 Å, b = 5.0487 Å, c = 8.7132 Å
α = 90.00°, β = 90.00°, γ = 90.00°
Space group Amm2 (No. 38)
One atom of each set of equivalent atoms:
Zn 0.0000 0.0000 0.0000
Ni 0.0000 0.2480 0.2501
Ni 0.2519 0.0000 0.3327
Ni 0.2533 0.0000 0.8317
Ni 0.2543 0.2493 0.5837
Ni 0.5000 0.0000 0.1661
Ni 0.5000 0.0000 0.6660
Ni 0.5000 0.2499 0.4155
Ru 0.0000 0.0000 0.5003

Properties
formation enthalpy at 0 K = 0.0258 eV per atom
magnetic moment = 18.501 μB per cell
DOS at the Fermi energy = 55.63 states/eV per cell
E = -182.2 eV per cell